1.
# LiSb2Au | Alexandria via LeMat-Bulk | PBEsol | relaxed
data_LiSb2Au
_chemical_formula_sum 'Li1 Sb2 Au1'
_space_group_name_H-M_alt 'P m m m'
_space_group_IT_number 47
_cell_length_a 3.191
_cell_length_b 4.348
_cell_length_c 6.476
_cell_angle_alpha 90.00
_cell_angle_beta 90.00
_cell_angle_gamma 90.00
loop_
_space_group_symop_operation_xyz
'x,y,z'
'-x,-y,-z'
'-x,-y,z'
'x,y,-z'
'x,-y,-z'
'-x,y,z'
'-x,y,-z'
'x,-y,z'
loop_
_atom_site_label
_atom_site_fract_x
_atom_site_fract_y
_atom_site_fract_z
Li1 0.000 0.000 0.000
Sb1 0.500 0.500 0.239
Au1 0.500 0.000 0.500
# formation energy from raw total energies: -0.20 eV/atom
# total DFT energy (no corrections): -0.291 Ry per atom
# E above lowest polymorph: 0.01 eV/f.u.
# magnetic moment: 0.00 μB/f.u.

***

2.
# Li2SbAu | Alexandria via LeMat-Bulk | PBEsol | relaxed
data_Li2SbAu
_chemical_formula_sum 'Li2 Sb1 Au1'
_space_group_name_H-M_alt 'P 4/m m m'
_space_group_IT_number 123
_space_group_name_Hall '-P 4 2'
_cell_length_a 4.077
_cell_length_b 4.077
_cell_length_c 4.119
_cell_angle_alpha 90.00
_cell_angle_beta 90.00
_cell_angle_gamma 90.00
loop_
_atom_site_label
_atom_site_fract_x
_atom_site_fract_y
_atom_site_fract_z
Li1 0.000 0.500 0.000
Sb1 0.000 0.000 0.500
Au1 0.500 0.500 0.500
# formation energy from raw total energies: -0.50 eV/atom
# total DFT energy (no corrections): -0.265 Ry per atom
# magnetic moment: 0.00 μB/f.u.

***

3.
# LiSc2Au | Alexandria via LeMat-Bulk | PBEsol | relaxed
data_LiSc2Au
_chemical_formula_sum 'Li1 Sc2 Au1'
_space_group_name_H-M_alt 'P 4/m m m'
_space_group_IT_number 123
_space_group_name_Hall '-P 4 2'
_cell_length_a 4.647
_cell_length_b 4.647
_cell_length_c 3.471
_cell_angle_alpha 90.00
_cell_angle_beta 90.00
_cell_angle_gamma 90.00
loop_
_atom_site_label
_atom_site_fract_x
_atom_site_fract_y
_atom_site_fract_z
Li1 0.000 0.000 0.000
Sc1 0.000 0.500 0.500
Au1 0.500 0.500 0.000
# DFT formation energy: -9.44 kcal/mol of atoms
# total DFT energy (no corrections): -0.381 Ry per atom
# E above lowest polymorph: 0.14 eV/f.u.
# magnetic moment: 0.00 μB/f.u.

***

4.
# LiSc2Au | Alexandria via LeMat-Bulk | PBEsol | relaxed
data_LiSc2Au
_chemical_formula_sum 'Li4 Sc8 Au4'
_space_group_name_H-M_alt 'F m -3 m'
_space_group_IT_number 225
_space_group_name_Hall '-F 4 2 3'
_cell_length_a 6.685
_cell_length_b 6.685
_cell_length_c 6.685
_cell_angle_alpha 90.00
_cell_angle_beta 90.00
_cell_angle_gamma 90.00
loop_
_atom_site_label
_atom_site_fract_x
_atom_site_fract_y
_atom_site_fract_z
Li1 0.000 0.000 0.000
Sc1 0.250 0.250 0.250
Au1 0.000 0.000 0.500
# DFT formation energy: -10.23 kcal/mol of atoms
# total DFT energy (no corrections): -0.384 Ry per atom
# E above lowest polymorph: 0.00 eV/f.u.
# magnetic moment: 0.00 μB/f.u.

***

5.
# LiSc2Au2 | Alexandria via LeMat-Bulk | PBEsol | relaxed
data_LiSc2Au2
_chemical_formula_sum 'Li2 Sc4 Au4'
_space_group_name_H-M_alt 'P 4/m b m'
_space_group_IT_number 127
_space_group_name_Hall '-P 4 2ab'
_cell_length_a 7.679
_cell_length_b 7.679
_cell_length_c 3.335
_cell_angle_alpha 90.00
_cell_angle_beta 90.00
_cell_angle_gamma 90.00
loop_
_atom_site_label
_atom_site_fract_x
_atom_site_fract_y
_atom_site_fract_z
Li1 0.000 0.000 0.000
Sc1 0.159 0.341 0.500
Au1 0.138 0.638 0.000
# DFT formation energy: -14.70 kcal/mol of atoms
# total DFT energy (no corrections): -0.385 Ry per atom
# magnetic moment: 0.00 μB/f.u.

***

6.
# LiSc2Au | Alexandria via LeMat-Bulk | PBEsol | relaxed
data_LiSc2Au
_chemical_formula_sum 'Li2 Sc4 Au2'
_space_group_name_H-M_alt 'A m m 2'
_space_group_IT_number 38
_cell_length_a 4.530
_cell_length_b 3.272
_cell_length_c 10.437
_cell_angle_alpha 90.00
_cell_angle_beta 90.00
_cell_angle_gamma 90.00
loop_
_space_group_symop_operation_xyz
'x,y,z'
'-x,-y,z'
'-x,y,z'
'x,-y,z'
'x,y+1/2,z+1/2'
'-x,-y+1/2,z+1/2'
'-x,y+1/2,z+1/2'
'x,-y+1/2,z+1/2'
loop_
_atom_site_label
_atom_site_fract_x
_atom_site_fract_y
_atom_site_fract_z
Li1 0.000 0.000 0.000
Sc1 0.000 0.000 0.276
Sc2 0.500 0.000 0.578
Au1 0.500 0.000 0.857
# DFT formation energy: -7.55 kcal/mol of atoms
# total DFT energy (no corrections): -0.375 Ry per atom
# E above lowest polymorph: 0.46 eV/f.u.
# magnetic moment: 0.00 μB/f.u.

***

7.
# LiAuSe | Alexandria via LeMat-Bulk | PBEsol | relaxed
data_LiAuSe
_chemical_formula_sum 'Li1 Au1 Se1'
_space_group_name_H-M_alt 'P 3 m 1'
_space_group_IT_number 156
_cell_length_a 4.3175
_cell_length_b 4.3175
_cell_length_c 3.8050
_cell_angle_alpha 90.00
_cell_angle_beta 90.00
_cell_angle_gamma 120.00
loop_
_space_group_symop_operation_xyz
'x,y,z'
'-y,x-y,z'
'-x+y,-x,z'
'-y,-x,z'
'-x+y,y,z'
'x,x-y,z'
loop_
_atom_site_label
_atom_site_fract_x
_atom_site_fract_y
_atom_site_fract_z
Li1 0.0000 0.0000 0.0000
Au1 0.6667 0.3333 0.4440
Se1 0.3333 0.6667 0.4956
# formation energy from raw total energies: -0.45 eV/atom
# total DFT energy (no corrections): -0.272 Ry per atom
# magnetic moment: 0.00 μB/f.u.

***

8.
# Li4AuSe | Alexandria via LeMat-Bulk | PBEsol | relaxed
data_Li4AuSe
_chemical_formula_sum 'Li16 Au4 Se4'
_space_group_name_H-M_alt 'F -4 3 m'
_space_group_IT_number 216
_space_group_name_Hall 'F -4 2 3'
_cell_length_a 7.193
_cell_length_b 7.193
_cell_length_c 7.193
_cell_angle_alpha 90.00
_cell_angle_beta 90.00
_cell_angle_gamma 90.00
loop_
_atom_site_label
_atom_site_fract_x
_atom_site_fract_y
_atom_site_fract_z
Li1 0.125 0.125 0.125
Au1 0.000 0.000 0.500
Se1 0.250 0.250 0.750
# formation energy from raw total energies: -0.24 eV/atom
# total DFT energy (no corrections): -0.209 Ry per atom
# magnetic moment: 0.80 μB/f.u.

***

9.
# LiAu2Se2 | Alexandria via LeMat-Bulk | PBEsol | relaxed
data_LiAu2Se2
_chemical_formula_sum 'Li2 Au4 Se4'
_space_group_name_H-M_alt 'I 4/m m m'
_space_group_IT_number 139
_space_group_name_Hall '-I 4 2'
_cell_length_a 3.976
_cell_length_b 3.976
_cell_length_c 13.075
_cell_angle_alpha 90.00
_cell_angle_beta 90.00
_cell_angle_gamma 90.00
loop_
_atom_site_label
_atom_site_fract_x
_atom_site_fract_y
_atom_site_fract_z
Li1 0.000 0.000 0.000
Au1 0.000 0.000 0.402
Se1 0.000 0.500 0.250
# formation energy from raw total energies: 0.01 eV/atom
# total DFT energy (no corrections): -0.256 Ry per atom
# magnetic moment: 0.00 μB/f.u.

***

10.
# LiAuSe | Alexandria via LeMat-Bulk | PBEsol | relaxed
data_LiAuSe
_chemical_formula_sum 'Li4 Au4 Se4'
_space_group_name_H-M_alt 'F -4 3 m'
_space_group_IT_number 216
_space_group_name_Hall 'F -4 2 3'
_cell_length_a 5.899
_cell_length_b 5.899
_cell_length_c 5.899
_cell_angle_alpha 90.00
_cell_angle_beta 90.00
_cell_angle_gamma 90.00
loop_
_atom_site_label
_atom_site_fract_x
_atom_site_fract_y
_atom_site_fract_z
Li1 0.000 0.000 0.000
Au1 0.250 0.250 0.250
Se1 0.250 0.250 0.750
# formation energy from raw total energies: -0.34 eV/atom
# total DFT energy (no corrections): -0.264 Ry per atom
# magnetic moment: 0.00 μB/f.u.

***

11.
# LiAu3Se | Alexandria via LeMat-Bulk | PBEsol | relaxed
data_LiAu3Se
_chemical_formula_sum 'Li1 Au3 Se1'
_space_group_name_H-M_alt 'P m -3 m'
_space_group_IT_number 221
_space_group_name_Hall '-P 4 2 3'
_cell_length_a 4.440
_cell_length_b 4.440
_cell_length_c 4.440
_cell_angle_alpha 90.00
_cell_angle_beta 90.00
_cell_angle_gamma 90.00
loop_
_atom_site_label
_atom_site_fract_x
_atom_site_fract_y
_atom_site_fract_z
Li1 0.000 0.000 0.000
Au1 0.000 0.000 0.500
Se1 0.500 0.500 0.500
# formation energy from raw total energies: 0.47 eV/atom
# total DFT energy (no corrections): -0.224 Ry per atom
# magnetic moment: 0.00 μB/f.u.

***

12.
# LiSiAu | Alexandria via LeMat-Bulk | PBEsol | relaxed
data_LiSiAu
_chemical_formula_sum 'Li4 Si4 Au4'
_space_group_name_H-M_alt 'I m m 2'
_space_group_IT_number 44
_cell_length_a 4.193
_cell_length_b 6.348
_cell_length_c 7.269
_cell_angle_alpha 90.00
_cell_angle_beta 90.00
_cell_angle_gamma 90.00
loop_
_space_group_symop_operation_xyz
'x,y,z'
'-x,-y,z'
'-x,y,z'
'x,-y,z'
'x+1/2,y+1/2,z+1/2'
'-x+1/2,-y+1/2,z+1/2'
'-x+1/2,y+1/2,z+1/2'
'x+1/2,-y+1/2,z+1/2'
loop_
_atom_site_label
_atom_site_fract_x
_atom_site_fract_y
_atom_site_fract_z
Li1 0.000 0.000 0.000
Li2 0.000 0.500 0.074
Si1 0.000 0.189 0.367
Au1 0.000 0.267 0.695
# formation energy from raw total energies: -0.41 eV/atom
# total DFT energy (no corrections): -0.315 Ry per atom
# magnetic moment: 0.00 μB/f.u.

***

13.
# Li2SiAu | Alexandria via LeMat-Bulk | PBEsol | relaxed
data_Li2SiAu
_chemical_formula_sum 'Li2 Si1 Au1'
_space_group_name_H-M_alt 'P 4/m m m'
_space_group_IT_number 123
_space_group_name_Hall '-P 4 2'
_cell_length_a 2.702
_cell_length_b 2.702
_cell_length_c 7.851
_cell_angle_alpha 90.00
_cell_angle_beta 90.00
_cell_angle_gamma 90.00
loop_
_atom_site_label
_atom_site_fract_x
_atom_site_fract_y
_atom_site_fract_z
Li1 0.000 0.000 0.245
Si1 0.500 0.500 0.000
Au1 0.500 0.500 0.500
# formation energy from raw total energies: -0.34 eV/atom
# total DFT energy (no corrections): -0.275 Ry per atom
# magnetic moment: 0.00 μB/f.u.

***

14.
# Li2SiAu | Alexandria via LeMat-Bulk | PBEsol | relaxed
data_Li2SiAu
_chemical_formula_sum 'Li4 Si2 Au2'
_space_group_name_H-M_alt 'I m m m'
_space_group_IT_number 71
_space_group_name_Hall '-I 2 2'
_cell_length_a 3.668
_cell_length_b 3.772
_cell_length_c 8.176
_cell_angle_alpha 90.00
_cell_angle_beta 90.00
_cell_angle_gamma 90.00
loop_
_atom_site_label
_atom_site_fract_x
_atom_site_fract_y
_atom_site_fract_z
Li1 0.000 0.000 0.250
Si1 0.000 0.500 0.000
Au1 0.000 0.500 0.500
# formation energy from raw total energies: -0.38 eV/atom
# total DFT energy (no corrections): -0.278 Ry per atom
# magnetic moment: 0.00 μB/f.u.

***

15.
# LiSiAu | Alexandria via LeMat-Bulk | PBEsol | relaxed
data_LiSiAu
_chemical_formula_sum 'Li1 Si1 Au1'
_space_group_name_H-M_alt 'P -6 m 2'
_space_group_IT_number 187
_space_group_name_Hall 'P -6 2'
_cell_length_a 4.2561
_cell_length_b 4.2561
_cell_length_c 2.9352
_cell_angle_alpha 90.00
_cell_angle_beta 90.00
_cell_angle_gamma 120.00
loop_
_atom_site_label
_atom_site_fract_x
_atom_site_fract_y
_atom_site_fract_z
Li1 0.0000 0.0000 0.0000
Si1 0.6667 0.3333 0.5000
Au1 0.3333 0.6667 0.5000
# formation energy from raw total energies: -0.37 eV/atom
# total DFT energy (no corrections): -0.312 Ry per atom
# magnetic moment: 0.00 μB/f.u.